# Sm5Ho4Hg4 (PBE, optimized geometry)
data_Sm5Ho4Hg4
_cell_length_a 12.137
_cell_length_b 12.137
_cell_length_c 5.163
_cell_angle_alpha 90.00
_cell_angle_beta 90.00
_cell_angle_gamma 90.00
_symmetry_space_group_name_H-M 'I 4/m'
_symmetry_Int_Tables_number 87
_symmetry_space_group_name_Hall '-I 4'
loop_
_atom_site_label
_atom_site_fract_x
_atom_site_fract_y
_atom_site_fract_z
Sm1 0.000 0.000 0.000
Sm2 0.119 0.185 0.500
Ho1 0.098 0.396 0.000
Hg1 0.094 0.759 0.000
# **Formation energy from the elements**: -0.32 eV per atom
# **D(E_F)**: 0.81 states/eV/atom


# Sm3HoHg2 (PBE, optimized geometry)
data_Sm3HoHg2
_cell_length_a 7.213
_cell_length_b 14.703
_cell_length_c 7.574
_cell_angle_alpha 90.00
_cell_angle_beta 90.00
_cell_angle_gamma 90.00
_symmetry_space_group_name_H-M 'I b a m'
_symmetry_Int_Tables_number 72
_symmetry_space_group_name_Hall '-I 2 2c'
loop_
_atom_site_label
_atom_site_fract_x
_atom_site_fract_y
_atom_site_fract_z
Sm1 0.000 0.000 0.250
Sm2 0.000 0.273 0.250
Ho1 0.000 0.500 0.000
Hg1 0.202 0.138 0.000
# **Formation energy from the elements**: -0.08 eV per atom
# **D(E_F)**: 1.23 states/eV/atom
# **Offset from the most stable computed form**: 0.260 eV per atom


# Sm5Ho2Hg4 (PBE, optimized geometry)
data_Sm5Ho2Hg4
_cell_length_a 22.825
_cell_length_b 3.651
_cell_length_c 8.142
_cell_angle_alpha 90.00
_cell_angle_beta 102.96
_cell_angle_gamma 90.00
_symmetry_space_group_name_H-M 'C 1 2/m 1'
_symmetry_Int_Tables_number 12
loop_
_symmetry_equiv_pos_as_xyz
'x,y,z'
'-x,-y,-z'
'-x,y,-z'
'x,-y,z'
'x+1/2,y+1/2,z'
'-x+1/2,-y+1/2,-z'
'-x+1/2,y+1/2,-z'
'x+1/2,-y+1/2,z'
loop_
_atom_site_label
_atom_site_fract_x
_atom_site_fract_y
_atom_site_fract_z
Sm1 0.000 0.000 0.000
Sm2 0.124 0.500 0.973
Sm3 0.172 0.500 0.450
Ho1 0.229 0.000 0.818
Hg1 0.029 0.500 0.322
Hg2 0.087 0.000 0.641
# **Formation energy from the elements**: -0.07 eV per atom
# **D(E_F)**: 1.24 states/eV/atom


# Sm3Ho2Hg2 (PBE, optimized geometry)
data_Sm3Ho2Hg2
_cell_length_a 9.361
_cell_length_b 5.409
_cell_length_c 8.580
_cell_angle_alpha 90.00
_cell_angle_beta 111.36
_cell_angle_gamma 90.00
_symmetry_space_group_name_H-M 'C 1 2/m 1'
_symmetry_Int_Tables_number 12
loop_
_symmetry_equiv_pos_as_xyz
'x,y,z'
'-x,-y,-z'
'-x,y,-z'
'x,-y,z'
'x+1/2,y+1/2,z'
'-x+1/2,-y+1/2,-z'
'-x+1/2,y+1/2,-z'
'x+1/2,-y+1/2,z'
loop_
_atom_site_label
_atom_site_fract_x
_atom_site_fract_y
_atom_site_fract_z
Sm1 0.000 0.000 0.000
Sm2 0.159 0.000 0.476
Ho1 0.075 0.500 0.723
Hg1 0.212 0.500 0.136
# **Formation energy from the elements**: -0.24 eV per atom
# **D(E_F)**: 1.00 states/eV/atom
# **Offset from the most stable computed form**: 0.000 eV per atom


# Tb2SmHoHg4 (PBE, optimized geometry)
data_Tb2SmHoHg4
_cell_length_a 5.2912
_cell_length_b 5.2912
_cell_length_c 25.9987
_cell_angle_alpha 90.00
_cell_angle_beta 90.00
_cell_angle_gamma 120.00
_symmetry_space_group_name_H-M 'R -3 m'
_symmetry_Int_Tables_number 166
_symmetry_space_group_name_Hall '-R 3 2"'
loop_
_atom_site_label
_atom_site_fract_x
_atom_site_fract_y
_atom_site_fract_z
Tb1 0.0000 0.0000 0.2505
Sm1 0.0000 0.0000 0.5000
Ho1 0.0000 0.0000 0.0000
Hg1 0.0000 0.0000 0.1235
Hg2 0.0000 0.0000 0.3738
# **Formation energy from the elements**: -0.48 eV per atom
# **D(E_F)**: 1.13 states/eV/atom


# SmHoTcHg (PBE, optimized geometry)
data_SmHoTcHg
_cell_length_a 7.181
_cell_length_b 7.181
_cell_length_c 7.181
_cell_angle_alpha 90.00
_cell_angle_beta 90.00
_cell_angle_gamma 90.00
_symmetry_space_group_name_H-M 'F -4 3 m'
_symmetry_Int_Tables_number 216
_symmetry_space_group_name_Hall 'F -4 2 3'
loop_
_atom_site_label
_atom_site_fract_x
_atom_site_fract_y
_atom_site_fract_z
Sm1 0.000 0.000 0.000
Ho1 0.000 0.000 0.500
Tc1 0.250 0.250 0.750
Hg1 0.250 0.250 0.250
# **Formation energy from the elements**: -0.12 eV per atom
# **D(E_F)**: 0.70 states/eV/atom


# SmHoHgTe (PBE, optimized geometry)
data_SmHoHgTe
_cell_length_a 4.1928
_cell_length_b 4.1928
_cell_length_c 23.3474
_cell_angle_alpha 90.00
_cell_angle_beta 90.00
_cell_angle_gamma 120.00
_symmetry_space_group_name_H-M 'R 3 m'
_symmetry_Int_Tables_number 160
_symmetry_space_group_name_Hall 'R 3 -2"'
loop_
_atom_site_label
_atom_site_fract_x
_atom_site_fract_y
_atom_site_fract_z
Sm1 0.0000 0.0000 0.0000
Ho1 0.0000 0.0000 0.5005
Hg1 0.0000 0.0000 0.2479
Te1 0.0000 0.0000 0.7527
# **D(E_F)**: 0.53 states/eV/atom
# **Formation energy without anion corrections**: -0.8700 eV per atom


# SmHoTlHg (PBE, optimized geometry)
data_SmHoTlHg
_cell_length_a 3.783
_cell_length_b 3.783
_cell_length_c 7.609
_cell_angle_alpha 90.00
_cell_angle_beta 90.00
_cell_angle_gamma 90.00
_symmetry_space_group_name_H-M 'P 4 m m'
_symmetry_Int_Tables_number 99
loop_
_symmetry_equiv_pos_as_xyz
'x,y,z'
'-y,x,z'
'-x,-y,z'
'y,-x,z'
'-x,y,z'
'y,x,z'
'x,-y,z'
'-y,-x,z'
loop_
_atom_site_label
_atom_site_fract_x
_atom_site_fract_y
_atom_site_fract_z
Sm1 0.000 0.000 0.000
Ho1 0.000 0.000 0.482
Tl1 0.500 0.500 0.734
Hg1 0.500 0.500 0.256
# **Formation energy from the elements**: -0.42 eV per atom
# **D(E_F)**: 1.13 states/eV/atom
# **Offset from the most stable computed form**: 0.000 eV per atom


# SmHoTlHg (PBE, optimized geometry)
data_SmHoTlHg
_cell_length_a 7.583
_cell_length_b 7.583
_cell_length_c 7.583
_cell_angle_alpha 90.00
_cell_angle_beta 90.00
_cell_angle_gamma 90.00
_symmetry_space_group_name_H-M 'F -4 3 m'
_symmetry_Int_Tables_number 216
_symmetry_space_group_name_Hall 'F -4 2 3'
loop_
_atom_site_label
_atom_site_fract_x
_atom_site_fract_y
_atom_site_fract_z
Sm1 0.000 0.000 0.000
Ho1 0.000 0.000 0.500
Tl1 0.250 0.250 0.250
Hg1 0.250 0.250 0.750
# **Formation energy from the elements**: -0.41 eV per atom
# **D(E_F)**: 1.05 states/eV/atom
# **Offset from the most stable computed form**: 0.005 eV per atom


# SmHo2Tl2Hg2 (PBE, optimized geometry)
data_SmHo2Tl2Hg2
_cell_length_a 4.9964
_cell_length_b 4.9964
_cell_length_c 26.6550
_cell_angle_alpha 90.00
_cell_angle_beta 90.00
_cell_angle_gamma 120.00
_symmetry_space_group_name_H-M 'R -3 m'
_symmetry_Int_Tables_number 166
_symmetry_space_group_name_Hall '-R 3 2"'
loop_
_atom_site_label
_atom_site_fract_x
_atom_site_fract_y
_atom_site_fract_z
Sm1 0.0000 0.0000 0.0000
Ho1 0.0000 0.0000 0.1330
Tl1 0.0000 0.0000 0.2713
Hg1 0.0000 0.0000 0.4366
# **Formation energy from the elements**: -0.20 eV per atom
# **D(E_F)**: 0.58 states/eV/atom


# SmHoTmHg (PBE, optimized geometry)
data_SmHoTmHg
_cell_length_a 7.653
_cell_length_b 7.653
_cell_length_c 7.653
_cell_angle_alpha 90.00
_cell_angle_beta 90.00
_cell_angle_gamma 90.00
_symmetry_space_group_name_H-M 'F -4 3 m'
_symmetry_Int_Tables_number 216
_symmetry_space_group_name_Hall 'F -4 2 3'
loop_
_atom_site_label
_atom_site_fract_x
_atom_site_fract_y
_atom_site_fract_z
Sm1 0.000 0.000 0.000
Ho1 0.000 0.000 0.500
Tm1 0.250 0.250 0.250
Hg1 0.250 0.250 0.750
# **Formation energy from the elements**: -0.06 eV per atom
# **D(E_F)**: 1.28 states/eV/atom


# SmHoTm2Hg4 (PBE, optimized geometry)
data_SmHoTm2Hg4
_cell_length_a 5.2503
_cell_length_b 5.2503
_cell_length_c 25.7789
_cell_angle_alpha 90.00
_cell_angle_beta 90.00
_cell_angle_gamma 120.00
_symmetry_space_group_name_H-M 'R -3 m'
_symmetry_Int_Tables_number 166
_symmetry_space_group_name_Hall '-R 3 2"'
loop_
_atom_site_label
_atom_site_fract_x
_atom_site_fract_y
_atom_site_fract_z
Sm1 0.0000 0.0000 0.0000
Ho1 0.0000 0.0000 0.5000
Tm1 0.0000 0.0000 0.2494
Hg1 0.0000 0.0000 0.1263
Hg2 0.0000 0.0000 0.3766
# **Formation energy from the elements**: -0.47 eV per atom
# **D(E_F)**: 0.95 states/eV/atom